Here is a relaxed NdNbN3 crystal from the Alexandria database. Energies are from GGA-PBE. Values from VASP.

The value obtained for the volume is 13.89 A^3/atom. The total energy comes out at -8.661 eV/atom. As for the raw formation energy: -0.70 eV per atom. As for the space-group type: Cmmm, No. 65. Its magnetization is 0.00 μB per cell.

Cell and atoms, written as Quantum ESPRESSO input:
```
&SYSTEM
  ibrav = 0, nat = 10, ntyp = 3
/
ATOMIC_SPECIES
N 14.01 N.upf
Nb 92.91 Nb.upf
Nd 144.24 Nd.upf
ATOMIC_POSITIONS crystal
N 0.0000 0.8476 0.6952
N 0.5000 0.0000 0.5000
Nb 0.5000 0.8812 0.7624
Nd 0.0000 0.3458 0.6916
Nb 0.5000 0.1188 0.2376
N 0.5000 0.7458 0.0000
N 0.0000 0.1524 0.3048
Nd 0.0000 0.6542 0.3084
N 0.5000 0.5000 0.5000
N 0.5000 0.2542 0.0000
CELL_PARAMETERS angstrom
3.9858 0.0000 0.0000
0.0000 5.6204 0.0000
0.0000 -2.8102 6.2008
```